A:
An optimized crystal structure of CrGe3S, computed with GGA-PBE.

```
5
Lattice="4.690 0.000 0.000 0.000 4.690 0.000 0.000 0.000 4.690" Properties=species:S:1:pos:R:3 pbc="T T T"
Cr 0.000 0.000 0.000
Ge 0.000 0.000 2.345
Ge 0.000 2.345 0.000
Ge 2.345 0.000 0.000
S 2.345 2.345 2.345
```

total magnetic moment	2.0	μB per cell
symmetry	Pm-3m (221)


B:
An optimized crystal structure of CrGe3S, computed with GGA-PBE.

```
5
Lattice="4.803 0.000 0.000 0.000 4.803 0.000 0.000 0.000 4.803" Properties=species:S:1:pos:R:3 pbc="T T T"
Cr 0.000 0.000 0.000
Ge 0.000 2.402 2.402
Ge 2.402 0.000 2.402
Ge 2.402 2.402 0.000
S 2.402 2.402 2.402
```

total magnetic moment	0.3	μB per cell
symmetry	Pm-3m (221)


It is A that is most stable; the runner-up trails by 0.864 eV/atom.


A:
An optimized crystal structure of CrGeSbTe2, computed with GGA-PBE.

```
5
Lattice="5.246 0.000 0.000 0.000 5.246 0.000 0.000 0.000 5.091" Properties=species:S:1:pos:R:3 pbc="T T T"
Cr 0.000 0.000 0.000
Ge 2.623 2.623 2.546
Sb 0.000 0.000 2.546
Te 0.000 2.623 0.000
Te 2.623 0.000 0.000
```

total magnetic moment	2.9	μB per cell
symmetry	P4/mmm (123)


B:
An optimized crystal structure of CrGeSbTe2, computed with GGA-PBE.

```
5
Lattice="5.311 0.000 0.000 0.000 5.311 0.000 0.000 0.000 5.308" Properties=species:S:1:pos:R:3 pbc="T T T"
Cr 0.000 0.000 0.000
Ge 2.656 2.656 2.654
Sb 2.656 2.656 0.000
Te 0.000 2.656 2.654
Te 2.656 0.000 2.654
```

total magnetic moment	0.0	μB per cell
symmetry	P4/mmm (123)


It is A that is most stable; the runner-up trails by 0.787 eV/atom.


A:
An optimized crystal structure of ScCrGe2, computed with GGA-PBE.

```
8
Lattice="-2.146 2.146 8.798 2.146 -2.146 8.798 2.146 2.146 -8.798" Properties=species:S:1:pos:R:3 pbc="T T T"
Sc 0.000 0.000 0.000
Sc 0.000 2.146 4.399
Cr 2.146 0.000 4.399
Cr 0.000 0.000 8.798
Ge 1.073 -0.794 6.598
Ge 1.352 1.073 2.199
Ge 1.073 2.940 -2.199
Ge 0.794 1.073 10.997
```

total magnetic moment	7.6	μB per cell
symmetry	I-42d (122)


B:
An optimized crystal structure of ScCrGe2, computed with GGA-PBE.

```
48
Lattice="9.401 0.000 0.000 0.000 10.119 0.000 0.000 0.000 8.163" Properties=species:S:1:pos:R:3 pbc="T T T"
Sc 1.558 1.823 0.000
Sc 1.598 4.595 1.991
Sc 1.598 4.595 6.173
Sc 3.103 9.655 1.991
Sc 3.103 9.655 6.173
Sc 3.143 6.883 0.000
Sc 6.258 3.237 0.000
Sc 6.298 0.465 1.991
Sc 6.298 0.465 6.173
Sc 7.804 5.525 1.991
Sc 7.804 5.525 6.173
Sc 7.843 8.296 0.000
Cr 0.000 0.000 2.001
Cr 0.000 0.000 6.162
Cr 0.729 7.647 2.037
Cr 0.729 7.647 6.126
Cr 3.971 2.587 2.037
Cr 3.971 2.587 6.126
Cr 4.701 5.060 2.001
Cr 4.701 5.060 6.162
Cr 5.430 7.532 2.037
Cr 5.430 7.532 6.126
Cr 8.672 2.472 2.037
Cr 8.672 2.472 6.126
Ge 0.305 6.320 4.082
Ge 0.378 6.279 0.000
Ge 1.176 9.182 4.082
Ge 1.251 9.118 0.000
Ge 1.632 1.840 2.773
Ge 1.632 1.840 5.390
Ge 3.068 6.900 2.773
Ge 3.068 6.900 5.390
Ge 3.450 4.058 0.000
Ge 3.525 4.122 4.082
Ge 4.323 1.220 0.000
Ge 4.396 1.261 4.082
Ge 5.005 8.859 4.082
Ge 5.079 8.900 0.000
Ge 5.876 5.997 4.082
Ge 5.952 6.061 0.000
Ge 6.333 3.219 2.773
Ge 6.333 3.219 5.390
Ge 7.769 8.279 2.773
Ge 7.769 8.279 5.390
Ge 8.150 1.001 0.000
Ge 8.226 0.937 4.082
Ge 9.023 3.840 0.000
Ge 9.097 3.799 4.082
```

total magnetic moment	5.0	μB per cell
symmetry	Pbam (55)


C:
An optimized crystal structure of ScCrGe2, computed with GGA-PBE.

```
4
Lattice="0.000 3.254 3.254 3.254 0.000 3.254 3.254 3.254 0.000" Properties=species:S:1:pos:R:3 pbc="T T T"
Sc 0.000 0.000 0.000
Cr 3.254 3.254 3.254
Ge 1.627 1.627 1.627
Ge 4.881 4.881 4.881
```

total magnetic moment	3.0	μB per cell
symmetry	Fm-3m (225)


It is B that is most stable; the runner-up trails by 0.345 eV/atom.


A:
An optimized crystal structure of CrGe3Se, computed with GGA-PBE.

```
5
Lattice="4.972 0.000 0.000 0.000 4.972 0.000 0.000 0.000 4.972" Properties=species:S:1:pos:R:3 pbc="T T T"
Cr 0.000 0.000 0.000
Ge 0.000 2.486 2.486
Ge 2.486 0.000 2.486
Ge 2.486 2.486 0.000
Se 2.486 2.486 2.486
```

total magnetic moment	0.3	μB per cell
symmetry	Pm-3m (221)


B:
An optimized crystal structure of CrGe3Se, computed with GGA-PBE.

```
5
Lattice="4.728 0.000 0.000 0.000 4.728 0.000 0.000 0.000 4.728" Properties=species:S:1:pos:R:3 pbc="T T T"
Cr 0.000 0.000 0.000
Ge 0.000 0.000 2.364
Ge 0.000 2.364 0.000
Ge 2.364 0.000 0.000
Se 2.364 2.364 2.364
```

total magnetic moment	2.0	μB per cell
symmetry	Pm-3m (221)


It is B that is most stable; the runner-up trails by 1.176 eV/atom.


A:
An optimized crystal structure of CrSiGe3, computed with GGA-PBE.

```
5
Lattice="4.703 0.000 0.000 0.000 4.703 0.000 0.000 0.000 4.703" Properties=species:S:1:pos:R:3 pbc="T T T"
Cr 0.000 0.000 0.000
Si 2.351 2.351 2.351
Ge 0.000 2.351 2.351
Ge 2.351 0.000 2.351
Ge 2.351 2.351 0.000
```

total magnetic moment	0.4	μB per cell
symmetry	Pm-3m (221)


B:
An optimized crystal structure of CrSiGe3, computed with GGA-PBE.

```
5
Lattice="4.658 0.000 0.000 0.000 4.658 0.000 0.000 0.000 4.658" Properties=species:S:1:pos:R:3 pbc="T T T"
Cr 0.000 0.000 0.000
Si 2.329 2.329 2.329
Ge 0.000 0.000 2.329
Ge 0.000 2.329 0.000
Ge 2.329 0.000 0.000
```

total magnetic moment	1.4	μB per cell
symmetry	Pm-3m (221)


It is B that is most stable; the runner-up trails by 0.657 eV/atom.


A:
An optimized crystal structure of Cr2Si2Ge, computed with GGA-PBE.

```
10
Lattice="6.399 0.000 0.000 0.000 6.399 0.000 0.000 0.000 3.250" Properties=species:S:1:pos:R:3 pbc="T T T"
Cr 1.002 2.197 0.000
Cr 2.197 5.397 0.000
Cr 4.202 1.002 0.000
Cr 5.397 4.202 0.000
Si 0.882 4.082 1.625
Si 2.317 0.882 1.625
Si 4.082 5.517 1.625
Si 5.517 2.317 1.625
Ge 0.000 0.000 0.000
Ge 3.200 3.200 0.000
```

total magnetic moment	0.8	μB per cell
symmetry	P4/mbm (127)


B:
An optimized crystal structure of Cr2Si2Ge, computed with GGA-PBE.

```
10
Lattice="7.359 0.000 0.000 0.000 7.359 0.000 0.000 0.000 2.527" Properties=species:S:1:pos:R:3 pbc="T T T"
Cr 1.104 2.576 0.000
Cr 2.576 6.255 0.000
Cr 4.783 1.104 0.000
Cr 6.255 4.783 0.000
Si 1.043 4.723 1.264
Si 2.636 1.043 1.264
Si 4.723 6.316 1.264
Si 6.316 2.636 1.264
Ge 0.000 0.000 1.264
Ge 3.679 3.679 1.264
```

total magnetic moment	0.0	μB per cell
symmetry	P4/mbm (127)


It is A that is most stable; the runner-up trails by 0.128 eV/atom.